Material: SmBeSiPt2
Method: DFT, GGA-PBE
State: optimized geometry

Structure (POSCAR):
```
SmBeSiPt2
1.0
4.154 0.000 0.000
0.000 4.154 0.000
-2.077 -2.077 5.021
Si Be Sm Pt
1 1 1 2
Direct
0.250 0.750 0.500 Si
0.750 0.250 0.500 Be
0.000 0.000 0.000 Sm
0.634 0.634 0.268 Pt
0.366 0.366 0.732 Pt
```

Calculated values
Uncorrected energy: -6.14 eV/atom
Uncorrected formation energy: -0.951 eV/atom
Crystal system: tetragonal
N(E_F): 0.69 states/eV/atom